The following is a GGA-PBEsol calculation of a relaxed Al2Cr3CuS8 crystal, from the Alexandria database.

Geometry as extended XYZ:
```
14
Lattice="3.476 2.007 5.676 -3.476 2.007 5.676 0.000 -4.014 5.676" Properties=species:S:1:pos:R:3 pbc="T T T"
Al 0.000 0.000 0.000
Al 0.000 0.000 6.496
Cr 0.000 -2.064 2.962
Cr -1.787 1.032 2.962
Cr 1.787 1.032 2.962
Cu 0.000 0.000 10.762
S -1.832 -1.058 9.972
S 0.000 -2.149 7.250
S -1.861 1.075 7.250
S 0.000 0.000 4.220
S 1.832 -1.058 9.972
S 0.000 2.115 9.972
S 0.000 0.000 13.018
S 1.861 1.074 7.250
```

Properties
Formation energy (no corrections), eV per atom: -0.8292
Fermi-level density of states, states/eV/cell: 2.6

***

The following is a GGA-PBEsol calculation of a relaxed Er6Al43Cr4 crystal, from the Alexandria database.

Geometry as extended XYZ:
```
106
Lattice="10.785 0.000 0.000 -5.393 9.340 0.000 0.000 0.000 17.444" Properties=species:S:1:pos:R:3 pbc="T T T"
Er -2.528 4.379 1.656
Er -2.528 4.379 7.066
Er -2.865 4.962 10.378
Er -2.865 4.962 15.788
Er 5.056 0.000 1.656
Er 5.056 0.000 7.066
Er 2.528 4.379 10.378
Er 2.528 4.379 15.788
Er 5.729 0.000 10.378
Er 5.729 0.000 15.788
Er 2.865 4.962 1.656
Er 2.865 4.962 7.066
Al -0.785 1.360 13.083
Al -0.841 1.456 2.016
Al -0.841 1.456 6.706
Al -1.352 2.341 9.241
Al -1.352 2.341 16.925
Al -4.041 6.999 0.519
Al -4.041 6.999 8.203
Al -4.552 7.884 10.738
Al -4.552 7.884 15.428
Al -4.607 7.980 4.361
Al -1.386 5.100 4.361
Al -1.669 5.590 13.083
Al 1.570 0.000 13.083
Al 0.785 1.360 4.361
Al 1.681 0.000 2.016
Al 1.681 0.000 6.706
Al 0.841 1.456 10.738
Al 0.841 1.456 15.428
Al -0.407 3.654 11.603
Al -0.407 3.654 14.563
Al -2.432 7.161 2.881
Al -2.432 7.161 5.841
Al 0.407 3.654 2.881
Al 0.407 3.654 5.841
Al -2.025 7.866 11.603
Al -2.025 7.866 14.563
Al 0.000 4.610 0.000
Al 0.000 4.610 8.722
Al -1.400 7.035 0.000
Al -1.400 7.035 8.722
Al 2.703 0.000 9.241
Al 2.703 0.000 16.925
Al 1.352 2.341 0.519
Al 1.352 2.341 8.203
Al 0.000 6.227 2.207
Al 0.000 6.227 6.515
Al 0.000 6.227 10.929
Al 0.000 6.227 15.237
Al 3.368 1.475 11.603
Al 3.368 1.475 14.563
Al 2.961 2.180 2.881
Al 2.961 2.180 5.841
Al 1.386 5.100 13.083
Al -0.283 7.991 4.361
Al 1.669 5.590 4.361
Al 0.283 7.991 13.083
Al 3.992 2.305 0.000
Al 3.992 2.305 8.722
Al 1.400 7.035 0.000
Al 1.400 7.035 8.722
Al 5.110 1.350 4.361
Al 3.724 3.751 13.083
Al 5.675 1.350 13.083
Al 4.006 4.240 4.361
Al 2.432 7.161 11.603
Al 2.432 7.161 14.563
Al 2.025 7.866 2.881
Al 2.025 7.866 5.841
Al 5.393 3.113 2.207
Al 5.393 3.113 6.515
Al 5.393 3.113 10.929
Al 5.393 3.113 15.237
Al 8.082 0.000 0.519
Al 8.082 0.000 8.203
Al 4.041 6.999 9.241
Al 4.041 6.999 16.925
Al 6.793 2.305 0.000
Al 6.793 2.305 8.722
Al 5.393 4.731 0.000
Al 5.393 4.731 8.722
Al 7.417 1.475 2.881
Al 7.417 1.475 5.841
Al 4.986 5.686 11.603
Al 4.986 5.686 14.563
Al 7.824 2.180 11.603
Al 7.824 2.180 14.563
Al 5.800 5.686 2.881
Al 5.800 5.686 5.841
Al 9.104 0.000 10.738
Al 9.104 0.000 15.428
Al 4.552 7.884 2.016
Al 4.552 7.884 6.706
Al 9.215 0.000 4.361
Al 4.607 7.980 13.083
Al 7.062 3.751 4.361
Al 6.779 4.240 13.083
Cr 0.000 0.000 0.000
Cr 0.000 0.000 8.722
Cr -1.444 2.502 4.361
Cr -3.948 6.838 13.083
Cr 2.889 0.000 4.361
Cr 1.444 2.502 13.083
Cr 7.896 0.000 13.083
Cr 3.948 6.838 4.361
```

Properties
Fermi-level density of states, states/eV/cell: 50.0
Formation enthalpy at 0 K, eV per atom: -0.2615

***

The following is a GGA-PBEsol calculation of a relaxed AlCrFe2 crystal, from the Alexandria database.

Geometry as extended XYZ:
```
4
Lattice="3.952 0.000 0.000 0.000 3.952 0.000 0.000 0.000 2.784" Properties=species:S:1:pos:R:3 pbc="T T T"
Al 0.000 0.000 0.000
Cr 1.976 1.976 0.000
Fe 0.000 1.976 1.392
Fe 1.976 0.000 1.392
```

Properties
Energy above the lowest structure with this stoichiometry, eV per atom: 0.039
Fermi-level density of states, states/eV/cell: 3.6
Formation enthalpy at 0 K, eV per atom: -0.1428

***

The following is a GGA-PBEsol calculation of a relaxed AlCrFe6 crystal, from the Alexandria database.

Geometry as extended XYZ:
```
32
Lattice="3.507 -4.977 0.000 3.507 4.977 0.000 0.000 0.000 9.986" Properties=species:S:1:pos:R:3 pbc="T T T"
Al 0.000 0.000 2.450
Al 0.000 0.000 7.536
Al 3.507 2.492 4.993
Al 3.507 -2.492 4.993
Cr 3.507 2.485 0.000
Cr 3.507 0.000 2.459
Cr 3.507 0.000 7.528
Cr 3.507 -2.485 0.000
Fe 0.000 0.000 0.000
Fe 0.000 0.000 4.993
Fe 1.768 1.236 3.716
Fe 1.768 1.236 6.271
Fe 1.795 1.259 1.211
Fe 1.795 1.259 8.775
Fe 3.507 2.466 2.446
Fe 3.507 2.466 7.541
Fe 1.768 -1.236 3.716
Fe 1.768 -1.236 6.271
Fe 1.795 -1.259 1.211
Fe 1.795 -1.259 8.775
Fe 3.507 0.000 0.000
Fe 3.507 0.000 4.993
Fe 5.218 1.259 1.211
Fe 5.218 1.259 8.775
Fe 5.245 1.236 3.716
Fe 5.245 1.236 6.271
Fe 3.507 -2.466 2.446
Fe 3.507 -2.466 7.541
Fe 5.218 -1.259 1.211
Fe 5.218 -1.259 8.775
Fe 5.245 -1.236 3.716
Fe 5.245 -1.236 6.271
```

Properties
Fermi-level density of states, states/eV/cell: 30.7
Formation enthalpy at 0 K, eV per atom: -0.0529

***

The following is a GGA-PBEsol calculation of a relaxed AlCrFe2 crystal, from the Alexandria database.

Geometry as extended XYZ:
```
8
Lattice="2.837 0.000 0.000 0.000 3.895 0.000 0.000 0.000 7.998" Properties=species:S:1:pos:R:3 pbc="T T T"
Al 0.000 0.000 0.000
Al 1.418 1.947 3.999
Cr 0.000 1.947 6.077
Cr 1.418 0.000 2.078
Fe 0.000 0.000 3.958
Fe 0.000 1.947 1.984
Fe 1.418 0.000 5.983
Fe 1.418 1.947 7.957
```

Properties
Energy above the lowest structure with this stoichiometry, eV per atom: 0.085
Fermi-level density of states, states/eV/cell: 7.3
Formation enthalpy at 0 K, eV per atom: -0.0961

***

The following is a GGA-PBEsol calculation of a relaxed Al2CrFe crystal, from the Alexandria database.

Geometry as extended XYZ:
```
4
Lattice="2.586 0.000 0.000 0.000 2.586 0.000 0.000 0.000 7.454" Properties=species:S:1:pos:R:3 pbc="T T T"
Al 0.000 0.000 1.792
Al 0.000 0.000 5.663
Cr 1.293 1.293 3.727
Fe 1.293 1.293 0.000
```

Properties
Fermi-level density of states, states/eV/cell: 3.4
Formation enthalpy at 0 K, eV per atom: -0.0912

***

no.,total moment (μB per cell)
1,9.0
2,1.3
3,0.7
4,32.5
5,2.3
6,1.6